(1)
Compound: TiAu4
Source: the Alexandria database
Functional: PBE-GGA
Structure: optimized geometry

Output
Calculated volume (Å³/cell): 87.18
Crystal system: tetragonal
Total energy (eV/atom): -4.47
Density of states at the Fermi level (states/eV per cell): 2.5

Cell lengths 4.0314, 5.0690, 5.0661 Å; angles 80.96, 66.62, 66.55 degrees
Sites, in units of the cell vectors:
Au  0.6051  0.1884  0.6015
Au  0.3949  0.8116  0.3985
Au  0.7936  0.6014  0.8114
Au  0.2065  0.3986  0.1886
Ti  0.0000  0.0000  0.0000



(2)
Compound: TiAu4
Source: the Alexandria database
Functional: PBE-GGA
Structure: optimized geometry

Output
Calculated volume (Å³/cell): 121.79
Crystal system: cubic
Total energy (eV/atom): -3.41
Density of states at the Fermi level (states/eV per cell): 2.5

Cell lengths 4.9569, 4.9569, 4.9569 Å; angles 90.00, 90.00, 90.00 degrees
Sites, in units of the cell vectors:
Au  0.0000  0.0000  0.0000
Au  0.5000  0.0000  0.5000
Au  0.0000  0.5000  0.5000
Au  0.5000  0.5000  0.0000
Ti  0.5000  0.5000  0.5000